Compound: HgAsPd
Source: Alexandria via LeMat-Bulk
Functional: PBE
Structure: relaxed

The value obtained for the energy above the most stable polymorph in this dataset is 43.5 meV/atom. The spin magnetization comes out at 0.0 μB per formula unit. The calculation puts the energy at -3.46 eV/atom. As for the density of states at the Fermi level: 1.1 states/eV/f.u. For the energy of formation from the pure elements, the calculation gives -0.075 eV/atom.

It has space group I4mm (No. 107), with a = 3.1222 Å, b = 3.1222 Å, c = 11.9906 Å, α = 90.00°, β = 90.00° and γ = 90.00°. The asymmetric unit holds Hg at (0.0000, 0.0000, 0.0000), As at (0.0000, 0.0000, 0.2929) and Pd at (0.0000, 0.0000, 0.6748).

---

Compound: InOs2Cl
Source: Alexandria via LeMat-Bulk
Functional: PBE
Structure: relaxed

The value obtained for the energy above the most stable polymorph in this dataset is 632.7 meV/atom. The spin magnetization comes out at 0.0 μB per formula unit. The calculation puts the energy at -5.86 eV/atom. As for the density of states at the Fermi level: 2.8 states/eV/f.u. The formation energy from raw total energies comes out at 86.6 kJ per mole of atoms.

It has space group R-3m (No. 166, hexagonal axes), with a = 2.9416 Å, b = 2.9416 Å, c = 25.8162 Å, α = 90.00°, β = 90.00° and γ = 120.00°. The asymmetric unit holds In at (0.0000, 0.0000, 0.0000), Os at (0.0000, 0.0000, 0.2459) and Cl at (0.0000, 0.0000, 0.5000).

---

Q: What is the density of states at the Fermi level in the second record?
A: 2.8 states/eV/f.u.